No. 1
The following is a meta-GGA SCAN calculation of Cr2FeAs at its PBEsol-relaxed geometry, from the Alexandria database.

The calculation puts the total energy at -74.20 eV per cell. The formation enthalpy at 0 K is 222 meV/atom.

The structure belongs to space group Pm (No. 6); the cell edges are 2.632, 3.865 and 4.635 Å and the angles 90.00°, 100.30° and 90.00°. The distinct sites, in fractional coordinates, are Cr at (0.000, 0.000, 0.000), Cr at (0.241, 0.500, 0.726), Fe at (0.634, 0.500, 0.214) and As at (0.659, 0.000, 0.486).

---

No. 2
The following is a meta-GGA SCAN calculation of CrFeAs2Se at its PBEsol-relaxed geometry, from the Alexandria database.

The calculation puts the total energy at -93.85 eV per cell. The calculation puts the formation energy without anion corrections at 3.12 eV per formula unit.

The structure belongs to space group P4/mmm (No. 123); the cell edges are 4.531, 4.531 and 4.814 Å and the angles 90.00°, 90.00° and 90.00°. The distinct sites, in fractional coordinates, are Cr at (0.000, 0.000, 0.000), Fe at (0.500, 0.500, 0.500), As at (0.000, 0.500, 0.000) and Se at (0.000, 0.000, 0.500).

---

No. 3
The following is a meta-GGA SCAN calculation of Cr3GeAs at its PBEsol-relaxed geometry, from the Alexandria database.

The calculation puts the total energy at -91.86 eV per cell. The formation enthalpy at 0 K is 513 meV/atom.

The structure belongs to space group Pm-3m (No. 221); the cell edges are 4.613, 4.613 and 4.613 Å and the angles 90.00°, 90.00° and 90.00°. The distinct sites, in fractional coordinates, are Cr at (0.000, 0.000, 0.500), Ge at (0.000, 0.000, 0.000) and As at (0.500, 0.500, 0.500).

---

No. 4
The following is a meta-GGA SCAN calculation of CrAsH3 at its PBEsol-relaxed geometry, from the Alexandria database.

The calculation puts the total energy at -45.15 eV per cell.

The structure belongs to space group Pm-3m (No. 221); the cell edges are 3.703, 3.703 and 3.703 Å and the angles 90.00°, 90.00° and 90.00°. The distinct sites, in fractional coordinates, are Cr at (0.000, 0.000, 0.000), As at (0.500, 0.500, 0.500) and H at (0.000, 0.500, 0.500).

---

No. 5
The following is a meta-GGA SCAN calculation of CrNiAsH2 at its PBEsol-relaxed geometry, from the Alexandria database.

The calculation puts the total energy at -60.78 eV per cell.

The structure belongs to space group P4/mmm (No. 123); the cell edges are 3.343, 3.343 and 4.890 Å and the angles 90.00°, 90.00° and 90.00°. The distinct sites, in fractional coordinates, are Cr at (0.000, 0.000, 0.000), Ni at (0.500, 0.500, 0.500), As at (0.000, 0.000, 0.500) and H at (0.000, 0.500, 0.000).

---

No. 6
The following is a meta-GGA SCAN calculation of Rb2HfCrAs at its PBEsol-relaxed geometry, from the Alexandria database.

The calculation puts the total energy at -137.74 eV per cell. The formation enthalpy at 0 K is 997 meV/atom.

The structure belongs to space group P4/mmm (No. 123); the cell edges are 6.627, 6.627 and 4.586 Å and the angles 90.00°, 90.00° and 90.00°. The distinct sites, in fractional coordinates, are Rb at (0.000, 0.500, 0.000), Hf at (0.000, 0.000, 0.500), Cr at (0.500, 0.500, 0.000) and As at (0.500, 0.500, 0.500).

---

No. 7
The following is a meta-GGA SCAN calculation of CrHgMoAs2 at its PBEsol-relaxed geometry, from the Alexandria database.

The calculation puts the total energy at -158.96 eV per cell. The formation enthalpy at 0 K is 571 meV/atom.

The structure belongs to space group P4/mmm (No. 123); the cell edges are 4.766, 4.766 and 4.970 Å and the angles 90.00°, 90.00° and 90.00°. The distinct sites, in fractional coordinates, are Cr at (0.000, 0.000, 0.000), Hg at (0.500, 0.500, 0.000), Mo at (0.000, 0.000, 0.500) and As at (0.000, 0.500, 0.500).

---

No. 8
The following is a meta-GGA SCAN calculation of CrHgAs2Se at its PBEsol-relaxed geometry, from the Alexandria database.

The calculation puts the total energy at -141.87 eV per cell. The calculation puts the formation energy without anion corrections at 5.14 eV per formula unit.

The structure belongs to space group P4/mmm (No. 123); the cell edges are 5.059, 5.059 and 5.199 Å and the angles 90.00°, 90.00° and 90.00°. The distinct sites, in fractional coordinates, are Cr at (0.000, 0.000, 0.000), Hg at (0.500, 0.500, 0.500), As at (0.000, 0.500, 0.500) and Se at (0.500, 0.500, 0.000).

---

No. 9
The following is a meta-GGA SCAN calculation of CrAsSe2I at its PBEsol-relaxed geometry, from the Alexandria database.

The calculation puts the total energy at -113.57 eV per cell. The calculation puts the formation energy without anion corrections at 1.90 eV per formula unit.

The structure belongs to space group P4/mmm (No. 123); the cell edges are 4.634, 4.634 and 5.453 Å and the angles 90.00°, 90.00° and 90.00°. The distinct sites, in fractional coordinates, are Cr at (0.000, 0.000, 0.000), As at (0.500, 0.500, 0.500), Se at (0.000, 0.500, 0.000) and I at (0.000, 0.000, 0.500).

---

No. 10
The following is a meta-GGA SCAN calculation of CrAsIr2 at its PBEsol-relaxed geometry, from the Alexandria database.

The calculation puts the total energy at -180.94 eV per cell. The formation enthalpy at 0 K is -42 meV/atom.

The structure belongs to space group P4/mmm (No. 123); the cell edges are 3.185, 3.185 and 5.617 Å and the angles 90.00°, 90.00° and 90.00°. The distinct sites, in fractional coordinates, are Cr at (0.000, 0.000, 0.000), As at (0.000, 0.000, 0.500) and Ir at (0.500, 0.500, 0.239).

---

No. 11
The following is a meta-GGA SCAN calculation of CrAsIr2 at its PBEsol-relaxed geometry, from the Alexandria database.

The calculation puts the total energy at -180.48 eV per cell. The formation enthalpy at 0 K is 73 meV/atom.

The structure belongs to space group Pmmm (No. 47); the cell edges are 2.752, 4.482 and 4.542 Å and the angles 90.00°, 90.00° and 90.00°. The distinct sites, in fractional coordinates, are Cr at (0.000, 0.000, 0.000), As at (0.500, 0.000, 0.500), Ir at (0.000, 0.500, 0.500) and Ir at (0.500, 0.500, 0.000).

---

No. 12
The following is a meta-GGA SCAN calculation of CrAsIr2 at its PBEsol-relaxed geometry, from the Alexandria database.

The calculation puts the total energy at -359.70 eV per cell. The formation enthalpy at 0 K is 231 meV/atom.

The structure belongs to space group Cmmm (No. 65); the cell edges are 2.752, 4.698 and 8.967 Å and the angles 90.00°, 90.00° and 90.00°. The distinct sites, in fractional coordinates, are Cr at (0.000, 0.000, 0.000), As at (0.000, 0.000, 0.500) and Ir at (0.000, 0.500, 0.231).